Compound: Mg4Ta3
Source: OQMD via LeMat-Bulk
Functional: PBE
Structure: optimized geometry

The uncorrected energy comes out at -5.6765 eV per atom. The calculation puts the energy above the most stable polymorph in this dataset at 0.057 eV/atom.

```
Mg4Ta3
1.0
7.9288 0.0000 0.0000
-3.9644 6.8665 0.0000
0.0000 0.0000 4.9686
Mg Ta
8 6
Direct
0.0546 0.8072 0.2500
0.1928 0.2474 0.2500
0.2474 0.0546 0.7500
0.3333 0.6667 0.2500
0.6667 0.3333 0.7500
0.7526 0.9454 0.2500
0.8072 0.7526 0.7500
0.9454 0.1928 0.7500
0.1088 0.6182 0.7500
0.3818 0.4906 0.7500
0.4906 0.1088 0.2500
0.5094 0.8912 0.7500
0.6182 0.5094 0.2500
0.8912 0.3818 0.2500
```

Compound: KFe8
Source: OQMD via LeMat-Bulk
Functional: PBE
Structure: optimized geometry

The uncorrected energy comes out at -6.6709 eV per atom.

```
KFe8
1.0
0.0000 3.9129 10.6378
2.8516 0.0000 10.6378
2.8516 3.9129 0.0000
K Fe
2 16
Direct
0.1250 0.1250 0.1250
0.8750 0.8750 0.8750
0.0997 0.5559 0.3639
0.1745 0.3320 0.7686
0.2249 0.7686 0.3320
0.2314 0.7751 0.8255
0.3320 0.1745 0.2249
0.3639 0.4806 0.0997
0.4441 0.9003 0.5194
0.4806 0.3639 0.5559
0.5194 0.6361 0.4441
0.5559 0.0997 0.4806
0.6361 0.5194 0.9003
0.6680 0.8255 0.7751
0.7686 0.2249 0.1745
0.7751 0.2314 0.6680
0.8255 0.6680 0.2314
0.9003 0.4441 0.6361
```

> Which formula does entry 2 have?

KFe8